Record 1
Compound: LaMnCu2
Source: Alexandria via LeMat-Bulk
Functional: GGA-PBE
Structure: optimized geometry

a b c (Å): 4.7440 4.7440 6.6505
angles (deg): 90.00 90.00 90.00
Space group I-4m2 (No. 119)
Inequivalent atoms, fractional coordinates:
La: 0.0000 0.0000 0.0000 x2
Mn: 0.0000 0.5000 0.7500 x2
Cu: 0.0000 0.0000 0.5000 x2
Cu: 0.0000 0.5000 0.2500 x2

**Total magnetization**: 7.968 μB/cell
**Calculated formation energy**: 92 kJ/mol of formula units

Record 2
Compound: K2FeNi
Source: Alexandria via LeMat-Bulk
Functional: GGA-PBE
Structure: optimized geometry

a b c (Å): 2.9703 2.9703 10.6928
angles (deg): 90.00 90.00 90.00
Space group P4/mmm (No. 123)
Inequivalent atoms, fractional coordinates:
K: 0.0000 0.0000 0.2303 x2
Fe: 0.5000 0.5000 0.5000 x1
Ni: 0.5000 0.5000 0.0000 x1

**Total magnetization**: 2.348 μB/cell
**Calculated formation energy**: 455 kJ/mol of formula units
**Energy relative to the lowest polymorph listed for this composition**: 58.59 kJ per mole of atoms

Record 3
Compound: CuMoHRh2
Source: Alexandria via LeMat-Bulk
Functional: GGA-PBE
Structure: optimized geometry

a b c (Å): 3.9131 3.9131 3.8795
angles (deg): 90.00 90.00 90.00
Space group P4/mmm (No. 123)
Inequivalent atoms, fractional coordinates:
Cu: 0.0000 0.0000 0.0000 x1
Mo: 0.5000 0.5000 0.0000 x1
H: 0.5000 0.5000 0.5000 x1
Rh: 0.0000 0.5000 0.5000 x2

**Total magnetization**: 0.001 μB/cell
**Energy relative to the lowest polymorph listed for this composition**: 0.00 kJ per mole of atoms